A.
## NaSrErSe3 (PBE)

Data for a geometry-optimized NaSrErSe3 structure.

Values from the calculation:
* ρ: 5.237 Mg/m³
* space group: Pnma, No. 62

Unit cell a=14.1154 b=4.2653 c=10.8442 alpha=90.00 beta=90.00 gamma=90.00
Atoms (fractional coordinates):
Na (0.0018, 0.2500, 0.0898)
Na (0.4982, 0.7500, 0.5898)
Na (0.5018, 0.2500, 0.4102)
Na (0.9982, 0.7500, 0.9102)
Sr (0.2396, 0.7500, 0.0259)
Sr (0.2604, 0.2500, 0.5259)
Sr (0.7396, 0.7500, 0.4741)
Sr (0.7604, 0.2500, 0.9741)
Er (0.0176, 0.7500, 0.3360)
Er (0.4824, 0.2500, 0.8360)
Er (0.5176, 0.7500, 0.1640)
Er (0.9824, 0.2500, 0.6640)
Se (0.1017, 0.7500, 0.5707)
Se (0.1173, 0.2500, 0.8722)
Se (0.1427, 0.2500, 0.2601)
Se (0.3573, 0.7500, 0.7601)
Se (0.3827, 0.7500, 0.3722)
Se (0.3983, 0.2500, 0.0707)
Se (0.6017, 0.7500, 0.9293)
Se (0.6173, 0.2500, 0.6278)
Se (0.6427, 0.2500, 0.2399)
Se (0.8573, 0.7500, 0.7399)
Se (0.8827, 0.7500, 0.1278)
Se (0.8983, 0.2500, 0.4293)



B.
## NaSrErSe3 (PBE)

Data for a geometry-optimized NaSrErSe3 structure.

Values from the calculation:
* ρ: 5.324 Mg/m³
* space group: C2/m, No. 12

Unit cell a=9.1091 b=9.1091 c=9.0478 alpha=104.45 beta=104.45 gamma=26.26
Atoms (fractional coordinates):
Na (0.0041, 0.0041, 0.2039)
Na (0.9959, 0.9959, 0.7961)
Sr (0.3643, 0.3643, 0.4335)
Sr (0.6357, 0.6357, 0.5665)
Er (0.3339, 0.3339, 0.9138)
Er (0.6661, 0.6661, 0.0862)
Se (0.0000, 0.0000, 0.5000)
Se (0.1691, 0.1691, 0.8642)
Se (0.1789, 0.1789, 0.3103)
Se (0.5000, 0.5000, 0.0000)
Se (0.8211, 0.8211, 0.6897)
Se (0.8309, 0.8309, 0.1358)



Most stable = B



A.
## NaErSn (PBE)

Data for a geometry-optimized NaErSn structure.

Values from the calculation:
* ρ: 5.481 Mg/m³
* space group: F-43m, No. 216

Unit cell a=5.0966 b=5.0966 c=5.0966 alpha=60.00 beta=60.00 gamma=60.00
Atoms (fractional coordinates):
Na (0.0000, 0.0000, 0.0000)
Er (0.2500, 0.2500, 0.2500)
Sn (0.5000, 0.5000, 0.5000)



B.
## NaErSn (PBE)

Data for a geometry-optimized NaErSn structure.

Values from the calculation:
* ρ: 6.880 Mg/m³
* space group: P6_3mc, No. 186

Unit cell a=5.1861 b=5.1861 c=6.4029 alpha=90.00 beta=90.00 gamma=120.00
Atoms (fractional coordinates):
Na (0.0000, 0.0000, 0.0000)
Na (0.0000, 0.0000, 0.5000)
Er (0.3333, 0.6667, 0.2476)
Er (0.6667, 0.3333, 0.7476)
Sn (0.3333, 0.6667, 0.7465)
Sn (0.6667, 0.3333, 0.2465)



C.
## NaErSn (PBE)

Data for a geometry-optimized NaErSn structure.

Values from the calculation:
* ρ: 6.181 Mg/m³
* space group: F-43m, No. 216

Unit cell a=4.8962 b=4.8962 c=4.8962 alpha=60.00 beta=60.00 gamma=60.00
Atoms (fractional coordinates):
Na (0.0000, 0.0000, 0.0000)
Er (0.7500, 0.7500, 0.7500)
Sn (0.2500, 0.2500, 0.2500)



Most stable = B



A.
## ErNb2 (PBE)

Data for a geometry-optimized ErNb2 structure.

Values from the calculation:
* ρ: 8.893 Mg/m³
* space group: Fd-3m, No. 227

Unit cell a=5.7131 b=5.7131 c=5.7131 alpha=60.00 beta=60.00 gamma=60.00
Atoms (fractional coordinates):
Er (0.1250, 0.1250, 0.1250)
Er (0.8750, 0.8750, 0.8750)
Nb (0.0000, 0.5000, 0.5000)
Nb (0.5000, 0.0000, 0.5000)
Nb (0.5000, 0.5000, 0.0000)
Nb (0.5000, 0.5000, 0.5000)



B.
## ErNb2 (PBE)

Data for a geometry-optimized ErNb2 structure.

Values from the calculation:
* ρ: 2.954 Mg/m³
* space group: Fd-3m, No. 227

Unit cell a=8.2490 b=8.2490 c=8.2490 alpha=60.00 beta=60.00 gamma=60.00
Atoms (fractional coordinates):
Er (0.1250, 0.1250, 0.1250)
Er (0.8750, 0.8750, 0.8750)
Nb (0.0000, 0.0000, 0.0000)
Nb (0.0000, 0.0000, 0.5000)
Nb (0.0000, 0.5000, 0.0000)
Nb (0.5000, 0.0000, 0.0000)



Most stable = A